# 1
Below is TaCrPb2 after structural relaxation, with properties calculated at the PBEsol level.

crystal system: orthorhombic
formation enthalpy at 0 K: 723.1 meV per atom
VASP energy: -6.97 eV/atom
distance to the lowest polymorph of the same formula: 81 meV per atom
DOS at the Fermi energy: 0.7734 states/eV/atom

Lattice parameters (Å, degrees): 3.1627 3.1627 8.6309 90.00 90.00 106.95
Fractional positions:
Cr: 0.5000 0.5000 0.0000
Pb: 0.0000 0.0000 0.2411
Pb: 0.0000 0.0000 0.7589
Ta: 0.5000 0.5000 0.5000

=====

# 2
Below is TaCr2Pb after structural relaxation, with properties calculated at the PBEsol level.

crystal system: trigonal
formation enthalpy at 0 K: 701.2 meV per atom
VASP energy: -8.56 eV/atom
DOS at the Fermi energy: 1.0265 states/eV/atom

Lattice parameters (Å, degrees): 3.0720 3.0720 8.5456 79.65 79.65 60.00
Fractional positions:
Cr: 0.2582 0.2582 0.2255
Cr: 0.7418 0.7418 0.7745
Pb: 0.5000 0.5000 0.5000
Ta: 0.0000 0.0000 0.0000

=====

# 3
Below is TaTiCrPb2 after structural relaxation, with properties calculated at the PBEsol level.

crystal system: tetragonal
formation enthalpy at 0 K: 1241.2 meV per atom
VASP energy: -6.58 eV/atom
DOS at the Fermi energy: 0.8431 states/eV/atom

Lattice parameters (Å, degrees): 4.7114 5.4160 5.4160 90.00 90.00 90.00
Fractional positions:
Pb: 0.0000 0.0000 0.5000
Pb: 0.0000 0.5000 0.0000
Cr: 0.5000 0.5000 0.5000
Ti: 0.5000 0.0000 0.0000
Ta: 0.0000 0.0000 0.0000

=====

# 4
Below is Cr2TcPb after structural relaxation, with properties calculated at the PBEsol level.

crystal system: tetragonal
formation enthalpy at 0 K: 557.1 meV per atom
VASP energy: -8.38 eV/atom
DOS at the Fermi energy: 0.9364 states/eV/atom

Lattice parameters (Å, degrees): 3.0146 3.0146 7.1215 90.00 90.00 90.00
Fractional positions:
Cr: 0.0000 0.0000 0.6972
Cr: 0.0000 0.0000 0.3028
Pb: 0.5000 0.5000 0.0000
Tc: 0.5000 0.5000 0.5000

=====

# 5
Below is CrTe3Pb after structural relaxation, with properties calculated at the PBEsol level.

crystal system: cubic
VASP energy: -3.91 eV/atom
formation energy (no corrections): 1049 meV per atom
DOS at the Fermi energy: 1.3580 states/eV/atom

Lattice parameters (Å, degrees): 5.7210 5.7210 5.7210 90.00 90.00 90.00
Fractional positions:
Pb: 0.0000 0.0000 0.0000
Cr: 0.5000 0.5000 0.5000
Te: 0.0000 0.5000 0.0000
Te: 0.0000 0.0000 0.5000
Te: 0.5000 0.0000 0.0000

=====

# 6
Below is CrTePb2 after structural relaxation, with properties calculated at the PBEsol level.

crystal system: trigonal
VASP energy: -5.24 eV/atom
formation energy (no corrections): 198 meV per atom
DOS at the Fermi energy: 0.5353 states/eV/atom

Lattice parameters (Å, degrees): 3.5295 3.5295 9.8549 79.68 79.68 60.00
Fractional positions:
Cr: 0.2441 0.2441 0.2676
Pb: 0.9860 0.9860 0.0419
Pb: 0.7473 0.7473 0.7580
Te: 0.5225 0.5225 0.4325

=====

Which of these has the highest VASP energy? CrTe3Pb

=====

Which value of DOS at the Fermi energy does entry 3 give? 0.8431 states/eV/atom

=====

Number 3 is which compound? TaTiCrPb2

=====

Number 1 is which compound? TaCrPb2